First-principles (PBE) data for crystalline Pm2ZnIr3 at its relaxed geometry, as listed in Alexandria via LeMat-Bulk.

abc: 5.2689 5.2689 5.2689
angles: 63.96 63.96 63.96
Fractional coordinates of all 6 atoms:
1 Pm 0.1261 0.1261 0.1261
2 Pm 0.8739 0.8739 0.8739
3 Zn 0.5000 0.5000 0.5000
4 Ir 0.0000 0.5000 0.5000
5 Ir 0.5000 0.0000 0.5000
6 Ir 0.5000 0.5000 0.0000

Summary:
DFT formation energy, eV/atom: -0.646